# 1
Crystalline Sn2Au2S at its relaxed geometry, computed with GGA-PBE.

The structure belongs to space group P4/mbm (No. 127); the cell edges are 7.766, 7.766 and 3.861 Å and the angles 90.00°, 90.00° and 90.00°. The asymmetric unit holds Sn at (0.191, 0.309, 0.000), Au at (0.124, 0.624, 0.500) and S at (0.000, 0.000, 0.000).

The size of the total moment comes out at 0.00 μB per cell. Its crystal system is tetragonal. As for the uncorrected energy: -3.760 eV/atom. For the energy relative to the elements, uncorrected, the calculation gives -22 meV/atom. The density of states at the Fermi level is 0.4057 states/eV per atom. The theoretical density comes out at 9.5 g/cm³. The value obtained for the polymorph energy (0 for the lowest one) is 0 meV/atom.


# 2
Crystalline Sn2AuS6 at its relaxed geometry, computed with GGA-PBE.

The structure belongs to space group P4_2/mnm (No. 136); the cell edges are 6.223, 6.223 and 11.119 Å and the angles 90.00°, 90.00° and 90.00°. The asymmetric unit holds Sn at (0.000, 0.000, 0.166), Au at (0.000, 0.000, 0.500), S at (0.184, 0.184, 0.338) and S at (0.192, 0.192, 0.000).

The size of the total moment comes out at 0.00 μB per cell. Its crystal system is tetragonal. As for the uncorrected energy: -3.990 eV/atom. For the energy relative to the elements, uncorrected, the calculation gives 16 meV/atom. The density of states at the Fermi level is 0.1853 states/eV per atom. The theoretical density comes out at 4.8 g/cm³.


# 3
Crystalline Sn2Au2S at its relaxed geometry, computed with GGA-PBE.

The structure belongs to space group P4/mbm (No. 127); the cell edges are 7.538, 7.538 and 3.939 Å and the angles 90.00°, 90.00° and 90.00°. The asymmetric unit holds Sn at (0.170, 0.330, 0.000), Au at (0.133, 0.633, 0.500) and S at (0.000, 0.000, 0.500).

The size of the total moment comes out at 0.00 μB per cell. Its crystal system is tetragonal. As for the uncorrected energy: -3.704 eV/atom. For the energy relative to the elements, uncorrected, the calculation gives 33 meV/atom. The density of states at the Fermi level is 0.3804 states/eV per atom. The theoretical density comes out at 9.8 g/cm³. The value obtained for the polymorph energy (0 for the lowest one) is 56 meV/atom.


# 4
Crystalline Sn2Au3S6 at its relaxed geometry, computed with GGA-PBE.

The structure belongs to space group C2/c (No. 15); the cell edges are 11.351, 6.535 and 15.070 Å and the angles 90.00°, 104.84° and 90.00°. The asymmetric unit holds Sn at (0.085, 0.250, 0.004), Au at (0.000, 0.050, 0.250), Au at (0.149, 0.401, 0.750), S at (0.058, 0.082, 0.407), S at (0.117, 0.406, 0.594) and S at (0.215, 0.426, 0.907).

The size of the total moment comes out at 0.00 μB per cell. Its crystal system is monoclinic. As for the uncorrected energy: -3.992 eV/atom. For the energy relative to the elements, uncorrected, the calculation gives -119 meV/atom. The density of states at the Fermi level is 0.5836 states/eV per atom. The theoretical density comes out at 6.3 g/cm³.


# 5
Crystalline Sn3AuS at its relaxed geometry, computed with GGA-PBE.

The structure belongs to space group Pm-3m (No. 221); the cell edges are 5.360, 5.360 and 5.360 Å and the angles 90.00°, 90.00° and 90.00°. The asymmetric unit holds Sn at (0.000, 0.000, 0.500), Au at (0.000, 0.000, 0.000) and S at (0.500, 0.500, 0.500).

The size of the total moment comes out at 0.00 μB per cell. Its crystal system is cubic. As for the uncorrected energy: -3.482 eV/atom. For the energy relative to the elements, uncorrected, the calculation gives 401 meV/atom. The density of states at the Fermi level is 0.4493 states/eV per atom. The theoretical density comes out at 6.3 g/cm³. The value obtained for the polymorph energy (0 for the lowest one) is 12 meV/atom.


# 6
Crystalline Sn2TeAuS3 at its relaxed geometry, computed with GGA-PBE.

The structure belongs to space group R-3m (No. 166, hexagonal axes); the cell edges are 7.8645, 7.8645 and 20.9944 Å and the angles 90.00°, 90.00° and 120.00°. The asymmetric unit holds Sn at (0.0000, 0.0000, 0.0000), Sn at (0.0000, 0.5000, 0.5000), Te at (0.0000, 0.0000, 0.2562), Au at (0.0000, 0.0000, 0.4278) and S at (0.0236, 0.5118, 0.7639).

The size of the total moment comes out at 0.00 μB per cell. Its crystal system is trigonal. As for the uncorrected energy: -4.048 eV/atom. For the energy relative to the elements, uncorrected, the calculation gives -219 meV/atom. The density of states at the Fermi level is 0.1953 states/eV per atom. The theoretical density comes out at 5.8 g/cm³.


# 7
Crystalline TlSnAu2S4 at its relaxed geometry, computed with GGA-PBE.

The structure belongs to space group I222 (No. 23); the cell edges are 6.717, 7.261 and 8.487 Å and the angles 90.00°, 90.00° and 90.00°. The asymmetric unit holds Tl at (0.000, 0.000, 0.000), Sn at (0.000, 0.000, 0.500), Au at (0.000, 0.500, 0.170) and S at (0.214, 0.191, 0.335).

The size of the total moment comes out at 0.00 μB per cell. Its crystal system is orthorhombic. As for the uncorrected energy: -3.862 eV/atom. For the energy relative to the elements, uncorrected, the calculation gives -183 meV/atom. The density of states at the Fermi level is 0.5671 states/eV per atom. The theoretical density comes out at 6.8 g/cm³.


# 8
Crystalline Tl2SnAuS4 at its relaxed geometry, computed with GGA-PBE.

The structure belongs to space group I-4 (No. 82); the cell edges are 7.434, 7.434 and 7.835 Å and the angles 90.00°, 90.00° and 90.00°. The asymmetric unit holds Tl at (0.000, 0.000, 0.000), Tl at (0.000, 0.500, 0.250), Sn at (0.000, 0.500, 0.750), Au at (0.000, 0.000, 0.500) and S at (0.166, 0.278, 0.579).

The size of the total moment comes out at 0.00 μB per cell. Its crystal system is tetragonal. As for the uncorrected energy: -3.808 eV/atom. For the energy relative to the elements, uncorrected, the calculation gives -243 meV/atom. The density of states at the Fermi level is 0.6333 states/eV per atom. The theoretical density comes out at 6.5 g/cm³.


# 9
Crystalline Tl2Sn3AuS8 at its relaxed geometry, computed with GGA-PBE.

The structure belongs to space group R3m (No. 160, hexagonal axes); the cell edges are 7.5224, 7.5224 and 25.0160 Å and the angles 90.00°, 90.00° and 120.00°. The asymmetric unit holds Tl at (0.0000, 0.0000, 0.0000), Tl at (0.0000, 0.0000, 0.3445), Sn at (0.0012, 0.5006, 0.8667), Au at (0.0000, 0.0000, 0.8111), S at (0.0000, 0.0000, 0.1403), S at (0.0000, 0.0000, 0.5920), S at (0.0298, 0.5149, 0.1360) and S at (0.1714, 0.3427, 0.9225).

The size of the total moment comes out at 0.00 μB per cell. Its crystal system is trigonal. As for the uncorrected energy: -4.066 eV/atom. For the energy relative to the elements, uncorrected, the calculation gives -277 meV/atom. The density of states at the Fermi level is 0.3776 states/eV per atom. The theoretical density comes out at 5.0 g/cm³.


# 10
Crystalline YSnAuS at its relaxed geometry, computed with GGA-PBE.

The structure belongs to space group R-3m (No. 166, hexagonal axes); the cell edges are 4.5451, 4.5451 and 33.8891 Å and the angles 90.00°, 90.00° and 120.00°. The asymmetric unit holds Y at (0.0000, 0.0000, 0.1145), Sn at (0.0000, 0.0000, 0.2995), Au at (0.0000, 0.0000, 0.3875) and S at (0.0000, 0.0000, 0.1971).

The size of the total moment comes out at 0.00 μB per cell. Its crystal system is trigonal. As for the uncorrected energy: -5.486 eV/atom. For the energy relative to the elements, uncorrected, the calculation gives -1018 meV/atom. The density of states at the Fermi level is 0.4085 states/eV per atom. The theoretical density comes out at 7.2 g/cm³.


# 11
Crystalline Sr2AuS2 at its relaxed geometry, computed with GGA-PBE.

The structure belongs to space group P4/mbm (No. 127); the cell edges are 8.076, 8.076 and 3.849 Å and the angles 90.00°, 90.00° and 90.00°. The asymmetric unit holds Sr at (0.157, 0.343, 0.000), Au at (0.000, 0.000, 0.500) and S at (0.153, 0.653, 0.500).

The size of the total moment comes out at 0.00 μB per cell. Its crystal system is tetragonal. As for the uncorrected energy: -4.313 eV/atom. For the energy relative to the elements, uncorrected, the calculation gives -1334 meV/atom. The density of states at the Fermi level is 0.2973 states/eV per atom. The theoretical density comes out at 5.8 g/cm³.


# 12
Crystalline SrAuS2 at its relaxed geometry, computed with GGA-PBE.

The structure belongs to space group I-42d (No. 122); the cell edges are 5.634, 5.634 and 14.259 Å and the angles 90.00°, 90.00° and 90.00°. The asymmetric unit holds Sr at (0.000, 0.000, 0.000), Au at (0.000, 0.000, 0.500) and S at (0.181, 0.250, 0.625).

The size of the total moment comes out at 0.00 μB per cell. Its crystal system is tetragonal. As for the uncorrected energy: -4.057 eV/atom. For the energy relative to the elements, uncorrected, the calculation gives -754 meV/atom. The density of states at the Fermi level is 0.7503 states/eV per atom. The theoretical density comes out at 5.1 g/cm³. The value obtained for the polymorph energy (0 for the lowest one) is 102 meV/atom.


# 13
Crystalline SrAuS2 at its relaxed geometry, computed with GGA-PBE.

The structure belongs to space group R-3m (No. 166, hexagonal axes); the cell edges are 4.7352, 4.7352 and 21.0737 Å and the angles 90.00°, 90.00° and 120.00°. The asymmetric unit holds Sr at (0.0000, 0.0000, 0.0000), Au at (0.0000, 0.0000, 0.5000) and S at (0.0000, 0.0000, 0.3929).

The size of the total moment comes out at 2.58 μB per cell. Its crystal system is trigonal. As for the uncorrected energy: -4.160 eV/atom. For the energy relative to the elements, uncorrected, the calculation gives -856 meV/atom. The density of states at the Fermi level is 0.6629 states/eV per atom. The theoretical density comes out at 4.2 g/cm³. The value obtained for the polymorph energy (0 for the lowest one) is 0 meV/atom.


# 14
Crystalline SrAu3S at its relaxed geometry, computed with GGA-PBE.

The structure belongs to space group Pm-3m (No. 221); the cell edges are 4.967, 4.967 and 4.967 Å and the angles 90.00°, 90.00° and 90.00°. The asymmetric unit holds Sr at (0.000, 0.000, 0.000), Au at (0.000, 0.500, 0.500) and S at (0.500, 0.500, 0.500).

The size of the total moment comes out at 0.00 μB per cell. Its crystal system is cubic. As for the uncorrected energy: -3.273 eV/atom. For the energy relative to the elements, uncorrected, the calculation gives -144 meV/atom. The density of states at the Fermi level is 0.4309 states/eV per atom. The theoretical density comes out at 9.6 g/cm³.


# 15
Crystalline SrAuS2 at its relaxed geometry, computed with GGA-PBE.

The structure belongs to space group Fm-3m (No. 225); the cell edges are 6.994, 6.994 and 6.994 Å and the angles 90.00°, 90.00° and 90.00°. The asymmetric unit holds Sr at (0.000, 0.000, 0.000), Au at (0.000, 0.000, 0.500) and S at (0.250, 0.250, 0.250).

The size of the total moment comes out at 0.01 μB per cell. Its crystal system is cubic. As for the uncorrected energy: -3.866 eV/atom. For the energy relative to the elements, uncorrected, the calculation gives -562 meV/atom. The density of states at the Fermi level is 1.4671 states/eV per atom. The theoretical density comes out at 6.8 g/cm³. The value obtained for the polymorph energy (0 for the lowest one) is 294 meV/atom.


# 16
Crystalline Sr2UAuS6 at its relaxed geometry, computed with GGA-PBE.

The structure belongs to space group C2/m (No. 12); the cell edges are 13.010, 6.829 and 6.559 Å and the angles 90.00°, 115.99° and 90.00°. The asymmetric unit holds Sr at (0.239, 0.000, 0.203), U at (0.000, 0.500, 0.000), Au at (0.000, 0.000, 0.500), S at (0.074, 0.240, 0.807) and S at (0.200, 0.500, 0.308).

The size of the total moment comes out at 0.00 μB per cell. Its crystal system is monoclinic. As for the uncorrected energy: -5.510 eV/atom. For the energy relative to the elements, uncorrected, the calculation gives -1241 meV/atom. The density of states at the Fermi level is 0.4907 states/eV per atom. The theoretical density comes out at 5.1 g/cm³.


# 17
Crystalline Sr2UAuS5 at its relaxed geometry, computed with GGA-PBE.

The structure belongs to space group Cmc2_1 (No. 36); the cell edges are 4.060, 17.511 and 12.460 Å and the angles 90.00°, 90.00° and 90.00°. The asymmetric unit holds Sr at (0.000, 0.104, 0.000), Sr at (0.000, 0.118, 0.636), U at (0.000, 0.207, 0.335), Au at (0.000, 0.438, 0.751), S at (0.000, 0.063, 0.369), S at (0.000, 0.285, 0.977), S at (0.000, 0.293, 0.692), S at (0.000, 0.356, 0.324) and S at (0.000, 0.497, 0.080).

The size of the total moment comes out at 4.03 μB per cell. Its crystal system is orthorhombic. As for the uncorrected energy: -5.714 eV/atom. For the energy relative to the elements, uncorrected, the calculation gives -1429 meV/atom. The density of states at the Fermi level is 0.5849 states/eV per atom. The theoretical density comes out at 5.8 g/cm³.


# 18
Crystalline Sr2YAuS at its relaxed geometry, computed with GGA-PBE.

The structure belongs to space group P4/mmm (No. 123); the cell edges are 5.959, 5.959 and 5.421 Å and the angles 90.00°, 90.00° and 90.00°. The asymmetric unit holds Sr at (0.000, 0.500, 0.000), Y at (0.000, 0.000, 0.500), Au at (0.000, 0.000, 0.000) and S at (0.500, 0.500, 0.500).

The size of the total moment comes out at 0.00 μB per cell. Its crystal system is tetragonal. As for the uncorrected energy: -3.789 eV/atom. For the energy relative to the elements, uncorrected, the calculation gives -342 meV/atom. The density of states at the Fermi level is 0.6489 states/eV per atom. The theoretical density comes out at 4.3 g/cm³.


# 19
Crystalline SrZn2AuS at its relaxed geometry, computed with GGA-PBE.

The structure belongs to space group P4/mmm (No. 123); the cell edges are 6.260, 6.260 and 5.664 Å and the angles 90.00°, 90.00° and 90.00°. The asymmetric unit holds Sr at (0.000, 0.000, 0.000), Zn at (0.000, 0.500, 0.000), Au at (0.000, 0.000, 0.500) and S at (0.500, 0.500, 0.500).

The size of the total moment comes out at 1.04 μB per cell. Its crystal system is tetragonal. As for the uncorrected energy: -1.506 eV/atom. For the energy relative to the elements, uncorrected, the calculation gives 821 meV/atom. The density of states at the Fermi level is 1.1836 states/eV per atom. The theoretical density comes out at 3.3 g/cm³.


# 20
Crystalline TaAuS3 at its relaxed geometry, computed with GGA-PBE.

The structure belongs to space group Pm-3m (No. 221); the cell edges are 4.717, 4.717 and 4.717 Å and the angles 90.00°, 90.00° and 90.00°. The asymmetric unit holds Ta at (0.000, 0.000, 0.000), Au at (0.500, 0.500, 0.500) and S at (0.000, 0.500, 0.500).

The size of the total moment comes out at 1.80 μB per cell. Its crystal system is cubic. As for the uncorrected energy: -4.423 eV/atom. For the energy relative to the elements, uncorrected, the calculation gives 1079 meV/atom. The density of states at the Fermi level is 0.7443 states/eV per atom. The theoretical density comes out at 7.5 g/cm³.